Arrangement i

This record from Alexandria describes crystalline TbMgSe2 at its relaxed geometry. The functional is PBE-GGA.

Cell lengths 3.9090, 3.9090, 20.8166 Å; angles 90.00, 90.00, 120.00 degrees
Sites, in units of the cell vectors:
Tb1 0.0000 0.0000 0.0000
Tb2 0.3333 0.6667 0.6667
Tb3 0.6667 0.3333 0.3333
Mg1 0.0000 0.0000 0.1675
Mg2 0.3333 0.6667 0.8342
Mg3 0.6667 0.3333 0.5009
Se1 0.0000 0.0000 0.5747
Se2 0.0000 0.0000 0.7568
Se3 0.3333 0.6667 0.2414
Se4 0.3333 0.6667 0.4235
Se5 0.6667 0.3333 0.0901
Se6 0.6667 0.3333 0.9080

space group: No. 160
D(E_F): 1.073 states/eV/f.u.
spin magnetization: 2.52 Bohr magnetons per cell

=====

Arrangement ii

This record from Alexandria describes crystalline TbMgSe2 at its relaxed geometry. The functional is PBE-GGA.

Cell lengths 3.9052, 3.9052, 20.6692 Å; angles 90.00, 90.00, 120.00 degrees
Sites, in units of the cell vectors:
Tb1 0.0000 0.0000 0.0000
Tb2 0.3333 0.6667 0.6667
Tb3 0.6667 0.3333 0.3333
Mg1 0.0000 0.0000 0.5000
Mg2 0.3333 0.6667 0.1667
Mg3 0.6667 0.3333 0.8333
Se1 0.0000 0.0000 0.2431
Se2 0.0000 0.0000 0.7569
Se3 0.3333 0.6667 0.4236
Se4 0.3333 0.6667 0.9097
Se5 0.6667 0.3333 0.0903
Se6 0.6667 0.3333 0.5764

space group: No. 166
D(E_F): 1.836 states/eV/f.u.
spin magnetization: 0.00 Bohr magnetons per cell

=====

Relative energies, eV/atom: arrangement i 0.000; arrangement ii 0.018.

=====

Arrangement i

This record from Alexandria describes crystalline TbMgSe3 at its relaxed geometry. The functional is PBE-GGA.

Cell lengths 7.3058, 7.3058, 6.5618 Å; angles 107.50, 107.50, 108.97 degrees
Sites, in units of the cell vectors:
Tb1 0.2273 0.2273 0.2058
Tb2 0.7727 0.7727 0.7942
Mg1 0.3308 0.6692 0.0000
Mg2 0.6692 0.3308 0.0000
Se1 0.1203 0.8121 0.2159
Se2 0.1879 0.8797 0.7841
Se3 0.4097 0.4097 0.7021
Se4 0.5903 0.5903 0.2979
Se5 0.8121 0.1203 0.2159
Se6 0.8797 0.1879 0.7841

space group: No. 12
D(E_F): 1.761 states/eV/f.u.
spin magnetization: 0.00 Bohr magnetons per cell

=====

Arrangement ii

This record from Alexandria describes crystalline TbMgSe3 at its relaxed geometry. The functional is PBE-GGA.

Cell lengths 7.3702, 7.3702, 7.3702 Å; angles 57.79, 57.79, 57.79 degrees
Sites, in units of the cell vectors:
Tb1 0.1524 0.1524 0.1524
Tb2 0.8476 0.8476 0.8476
Mg1 0.3474 0.3474 0.3474
Mg2 0.6526 0.6526 0.6526
Se1 0.0645 0.7346 0.4429
Se2 0.2654 0.5571 0.9355
Se3 0.4429 0.0645 0.7346
Se4 0.5571 0.9355 0.2654
Se5 0.7346 0.4429 0.0645
Se6 0.9355 0.2654 0.5571

space group: No. 148
D(E_F): 5.076 states/eV/f.u.
spin magnetization: 0.00 Bohr magnetons per cell

=====

Relative energies, eV/atom: arrangement i 0.080; arrangement ii 0.000.

=====

Arrangement i

This record from Alexandria describes crystalline Tb4MgSe5 at its relaxed geometry. The functional is PBE-GGA.

Cell lengths 17.0478, 17.0478, 17.0478 Å; angles 13.59, 13.59, 13.59 degrees
Sites, in units of the cell vectors:
Tb1 0.0991 0.0991 0.0991
Tb2 0.2982 0.2982 0.2982
Tb3 0.7018 0.7018 0.7018
Tb4 0.9009 0.9009 0.9009
Mg1 0.5000 0.5000 0.5000
Se1 0.0000 0.0000 0.0000
Se2 0.1972 0.1972 0.1972
Se3 0.4008 0.4008 0.4008
Se4 0.5992 0.5992 0.5992
Se5 0.8028 0.8028 0.8028

space group: No. 166
D(E_F): 3.387 states/eV/f.u.
spin magnetization: 0.00 Bohr magnetons per cell

=====

Arrangement ii

This record from Alexandria describes crystalline Tb4MgSe5 at its relaxed geometry. The functional is PBE-GGA.

Cell lengths 7.0440, 7.0440, 7.0440 Å; angles 99.60, 99.60, 131.81 degrees
Sites, in units of the cell vectors:
Tb1 0.0945 0.3074 0.4019
Tb2 0.3074 0.9055 0.2128
Tb3 0.6926 0.0945 0.7872
Tb4 0.9055 0.6926 0.5981
Mg1 0.4992 0.4992 0.0000
Se1 0.9995 0.9995 0.0000
Se2 0.2174 0.5982 0.8156
Se3 0.4019 0.2174 0.6192
Se4 0.5982 0.7826 0.3808
Se5 0.7826 0.4019 0.1844

space group: No. 79
D(E_F): 4.092 states/eV/f.u.
spin magnetization: 0.00 Bohr magnetons per cell

=====

Relative energies, eV/atom: arrangement i 0.000; arrangement ii 0.017.

=====

Arrangement i

This record from Alexandria describes crystalline Mg3TcSe at its relaxed geometry. The functional is PBE-GGA.

Cell lengths 5.0630, 5.0630, 5.0630 Å; angles 90.00, 90.00, 90.00 degrees
Sites, in units of the cell vectors:
Mg1 0.0000 0.0000 0.5000
Mg2 0.0000 0.5000 0.0000
Mg3 0.5000 0.0000 0.0000
Tc1 0.0000 0.0000 0.0000
Se1 0.5000 0.5000 0.5000

space group: No. 221
D(E_F): 6.656 states/eV/f.u.
spin magnetization: 1.38 Bohr magnetons per cell

=====

Arrangement ii

This record from Alexandria describes crystalline Mg3TcSe at its relaxed geometry. The functional is PBE-GGA.

Cell lengths 4.9371, 4.9371, 4.9371 Å; angles 90.00, 90.00, 90.00 degrees
Sites, in units of the cell vectors:
Mg1 0.0000 0.0000 0.5000
Mg2 0.0000 0.5000 0.0000
Mg3 0.5000 0.0000 0.0000
Tc1 0.5000 0.5000 0.5000
Se1 0.0000 0.0000 0.0000

space group: No. 221
D(E_F): 7.428 states/eV/f.u.
spin magnetization: 3.06 Bohr magnetons per cell

=====

Relative energies, eV/atom: arrangement i 0.100; arrangement ii 0.000.

=====

Arrangement i

This record from Alexandria describes crystalline MgTcSe at its relaxed geometry. The functional is PBE-GGA.

Cell lengths 6.0432, 6.0432, 6.0432 Å; angles 90.00, 90.00, 90.00 degrees
Sites, in units of the cell vectors:
Mg1 0.0000 0.0000 0.0000
Mg2 0.0000 0.5000 0.5000
Mg3 0.5000 0.0000 0.5000
Mg4 0.5000 0.5000 0.0000
Tc1 0.0000 0.0000 0.5000
Tc2 0.0000 0.5000 0.0000
Tc3 0.5000 0.0000 0.0000
Tc4 0.5000 0.5000 0.5000
Se1 0.2500 0.2500 0.7500
Se2 0.2500 0.7500 0.2500
Se3 0.7500 0.2500 0.2500
Se4 0.7500 0.7500 0.7500

space group: No. 216
D(E_F): 2.459 states/eV/f.u.
spin magnetization: 4.30 Bohr magnetons per cell

=====

Arrangement ii

This record from Alexandria describes crystalline MgTcSe at its relaxed geometry. The functional is PBE-GGA.

Cell lengths 3.2590, 5.1409, 12.8767 Å; angles 90.00, 90.00, 90.00 degrees
Sites, in units of the cell vectors:
Mg1 0.0000 0.0000 0.0000
Mg2 0.0000 0.5000 0.5000
Mg3 0.5000 0.0000 0.5000
Mg4 0.5000 0.5000 0.0000
Tc1 0.0000 0.0000 0.3313
Tc2 0.0000 0.5000 0.8313
Tc3 0.5000 0.0000 0.8313
Tc4 0.5000 0.5000 0.3313
Se1 0.0000 0.0000 0.6882
Se2 0.0000 0.5000 0.1882
Se3 0.5000 0.0000 0.1882
Se4 0.5000 0.5000 0.6882

space group: No. 42
D(E_F): 3.321 states/eV/f.u.
spin magnetization: 0.00 Bohr magnetons per cell

=====

Arrangement iii

This record from Alexandria describes crystalline MgTcSe at its relaxed geometry. The functional is PBE-GGA.

Cell lengths 3.2290, 3.2290, 6.2315 Å; angles 90.00, 90.00, 120.00 degrees
Sites, in units of the cell vectors:
Mg1 0.0000 0.0000 0.0000
Tc1 0.6667 0.3333 0.6615
Se1 0.3333 0.6667 0.4102

space group: No. 156
D(E_F): 1.300 states/eV/f.u.
spin magnetization: 0.00 Bohr magnetons per cell

=====

Arrangement iv

This record from Alexandria describes crystalline MgTcSe at its relaxed geometry. The functional is PBE-GGA.

Cell lengths 4.2157, 4.2157, 3.4369 Å; angles 90.00, 90.00, 120.00 degrees
Sites, in units of the cell vectors:
Mg1 0.0000 0.0000 0.0000
Tc1 0.3333 0.6667 0.5000
Se1 0.6667 0.3333 0.5000

space group: No. 187
D(E_F): 1.718 states/eV/f.u.
spin magnetization: 0.00 Bohr magnetons per cell

=====

Relative energies, eV/atom: arrangement i 0.435; arrangement ii 0.409; arrangement iii 0.000; arrangement iv 0.181.

=====

Arrangement i

This record from Alexandria describes crystalline MgTc3Se at its relaxed geometry. The functional is PBE-GGA.

Cell lengths 4.5696, 4.5696, 4.5696 Å; angles 90.00, 90.00, 90.00 degrees
Sites, in units of the cell vectors:
Mg1 0.0000 0.0000 0.0000
Tc1 0.0000 0.0000 0.5000
Tc2 0.0000 0.5000 0.0000
Tc3 0.5000 0.0000 0.0000
Se1 0.5000 0.5000 0.5000

space group: No. 221
D(E_F): 6.077 states/eV/f.u.
spin magnetization: 3.03 Bohr magnetons per cell

=====

Arrangement ii

This record from Alexandria describes crystalline MgTc3Se at its relaxed geometry. The functional is PBE-GGA.

Cell lengths 4.5706, 4.5706, 4.5706 Å; angles 90.00, 90.00, 90.00 degrees
Sites, in units of the cell vectors:
Mg1 0.0000 0.0000 0.0000
Tc1 0.0000 0.5000 0.5000
Tc2 0.5000 0.0000 0.5000
Tc3 0.5000 0.5000 0.0000
Se1 0.5000 0.5000 0.5000

space group: No. 221
D(E_F): 3.082 states/eV/f.u.
spin magnetization: 2.15 Bohr magnetons per cell

=====

Relative energies, eV/atom: arrangement i 1.249; arrangement ii 0.000.

=====

Arrangement i

This record from Alexandria describes crystalline Mg2TeSe at its relaxed geometry. The functional is PBE-GGA.

Cell lengths 3.9407, 3.9365, 15.6755 Å; angles 90.00, 90.00, 90.00 degrees
Sites, in units of the cell vectors:
Mg1 0.0000 0.0000 0.0000
Mg2 0.0000 0.5000 0.5000
Mg3 0.5000 0.0000 0.3600
Mg4 0.5000 0.5000 0.8600
Te1 0.5000 0.0000 0.5456
Te2 0.5000 0.5000 0.0456
Se1 0.0000 0.0000 0.8325
Se2 0.0000 0.5000 0.3325

space group: No. 38
spin magnetization: 0.00 Bohr magnetons per cell

=====

Arrangement ii

This record from Alexandria describes crystalline Mg2TeSe at its relaxed geometry. The functional is PBE-GGA.

Cell lengths 3.5345, 3.5345, 7.3645 Å; angles 90.00, 90.00, 90.00 degrees
Sites, in units of the cell vectors:
Mg1 0.0000 0.0000 0.2184
Mg2 0.0000 0.0000 0.7816
Te1 0.5000 0.5000 0.5000
Se1 0.5000 0.5000 0.0000

space group: No. 123
D(E_F): 1.544 states/eV/f.u.
spin magnetization: 0.00 Bohr magnetons per cell

=====

Arrangement iii

This record from Alexandria describes crystalline Mg2TeSe at its relaxed geometry. The functional is PBE-GGA.

Cell lengths 4.4211, 7.6499, 7.6605 Å; angles 99.74, 90.02, 106.77 degrees
Sites, in units of the cell vectors:
Mg1 0.0000 0.0000 0.0000
Mg2 0.2332 0.4692 0.7444
Mg3 0.4841 0.9776 0.5298
Mg4 0.7493 0.5075 0.2831
Te1 0.5591 0.1198 0.2117
Te2 0.8034 0.6106 0.9469
Se1 0.0492 0.1063 0.6938
Se2 0.3042 0.6165 0.4571

space group: No. 1
D(E_F): 0.000 states/eV/f.u.
spin magnetization: 0.00 Bohr magnetons per cell

=====

Arrangement iv

This record from Alexandria describes crystalline Mg2TeSe at its relaxed geometry. The functional is PBE-GGA.

Cell lengths 3.7526, 3.8308, 13.6342 Å; angles 90.00, 90.00, 90.00 degrees
Sites, in units of the cell vectors:
Mg1 0.0000 0.0000 0.0000
Mg2 0.0000 0.5000 0.2330
Mg3 0.5000 0.0000 0.7330
Mg4 0.5000 0.5000 0.5000
Te1 0.0000 0.0000 0.4029
Te2 0.5000 0.5000 0.9029
Se1 0.0000 0.5000 0.6534
Se2 0.5000 0.0000 0.1534

space group: No. 44
D(E_F): 0.609 states/eV/f.u.
spin magnetization: 0.00 Bohr magnetons per cell

=====

Relative energies, eV/atom: arrangement i 0.142; arrangement ii 0.543; arrangement iii 0.000; arrangement iv 0.278.

=====

Arrangement i

This record from Alexandria describes crystalline Mg2TeSe at its relaxed geometry. The functional is PBE-GGA.

Cell lengths 7.8203, 7.6863, 4.6696 Å; angles 90.00, 114.93, 90.00 degrees
Sites, in units of the cell vectors:
Mg1 0.2500 0.2500 0.0000
Mg2 0.2500 0.7500 0.0000
Mg3 0.7500 0.2500 0.0000
Mg4 0.7500 0.7500 0.0000
Te1 0.0000 0.0000 0.0000
Te2 0.5000 0.5000 0.0000
Se1 0.0000 0.5000 0.0000
Se2 0.5000 0.0000 0.0000

space group: No. 12
spin magnetization: 0.00 Bohr magnetons per cell

=====

Arrangement ii

This record from Alexandria describes crystalline Mg2TeSe at its relaxed geometry. The functional is PBE-GGA.

Cell lengths 7.1831, 7.1831, 7.1831 Å; angles 90.00, 90.00, 90.00 degrees
Sites, in units of the cell vectors:
Mg1 0.2500 0.2500 0.2500
Mg2 0.2500 0.2500 0.7500
Mg3 0.2500 0.7500 0.2500
Mg4 0.2500 0.7500 0.7500
Mg5 0.7500 0.2500 0.2500
Mg6 0.7500 0.2500 0.7500
Mg7 0.7500 0.7500 0.2500
Mg8 0.7500 0.7500 0.7500
Te1 0.0000 0.0000 0.0000
Te2 0.0000 0.5000 0.5000
Te3 0.5000 0.0000 0.5000
Te4 0.5000 0.5000 0.0000
Se1 0.0000 0.0000 0.5000
Se2 0.0000 0.5000 0.0000
Se3 0.5000 0.0000 0.0000
Se4 0.5000 0.5000 0.5000

space group: No. 225
D(E_F): 1.656 states/eV/f.u.
spin magnetization: 0.00 Bohr magnetons per cell

=====

Relative energies, eV/atom: arrangement i 0.000; arrangement ii 0.161.